DFT (PBE) results for a relaxed structure of KNaVN2.

Cell lengths 18.1263, 3.2841, 7.3753 Å; angles 90.00, 97.44, 90.00 degrees
Closest atoms and distances in Å follow each position.
Space group C2/m (No. 12)
Inequivalent atoms, fractional coordinates:
K (0.1059, 0.0000, 0.1402)  3 N 2.68-2.95
Na (0.1623, 0.0000, 0.5869)  3 N 2.52-2.60
V (0.0305, 0.5000, 0.6677)  4 N 1.84-1.87
N (0.0534, 0.0000, 0.7833)  2 V 1.87
N (0.0660, 0.5000, 0.4454)  2 V 1.84

ΔE_f (raw), meV per atom: -479
E_tot, eV for the cell shown: -122.32

DFT (PBE) results for a relaxed structure of Er4BeCl5.

Cell lengths 19.3354, 3.7568, 8.0059 Å; angles 90.00, 90.16, 90.00 degrees
Closest atoms and distances in Å follow each position.
Space group C2/m (No. 12)
Inequivalent atoms, fractional coordinates:
Er (0.0001, 0.0000, 0.2309)  2 Be 2.64, 4 Cl 2.86-2.91
Er (0.1299, 0.5000, 0.0007)  1 Be 2.51, 4 Cl 2.70
Be (0.0000, 0.5000, 0.0000)  6 Er 2.51-2.64
Cl (0.0000, 0.5000, 0.5000)  4 Er 2.86
Cl (0.1506, 0.0000, 0.2385)  3 Er 2.70-2.91
Cl (0.1505, 0.0000, 0.7630)  3 Er 2.70-2.91

ΔE_f (raw), meV per atom: -1449
E_tot, eV for the cell shown: -91.40

DFT (PBE) results for a relaxed structure of ReAsPt4.

Cell lengths 7.4359, 7.4359, 7.4359 Å; angles 90.00, 90.00, 90.00 degrees
Closest atoms and distances in Å follow each position.
Space group F-43m (No. 216)
Inequivalent atoms, fractional coordinates:
Re (0.0000, 0.0000, 0.0000)  12 Pt 3.08, 4 As 3.22
As (0.2500, 0.2500, 0.7500)  12 Pt 3.08, 4 Re 3.22
Pt (0.1255, 0.1255, 0.3745)  6 Pt 2.62-2.64

E_form, eV per formula unit: 3.50
E_tot, eV for the cell shown: -151.04